(1)
Entry from Alexandria via LeMat-Bulk: an optimized crystal structure of InCu3Ge (GGA-PBE).

crystal system	cubic
energy of formation from the pure elements	0.39	eV per atom
raw total energy	-17.70	eV/cell
V	97.4	Å³/cell

CIF file:
```
data_InCu3Ge
_space_group_name_H-M_alt 'P m -3 m'
_space_group_IT_number 221
_space_group_name_Hall '-P 4 2 3'
_cell_length_a 4.601
_cell_length_b 4.601
_cell_length_c 4.601
_cell_angle_alpha 90.00
_cell_angle_beta 90.00
_cell_angle_gamma 90.00
loop_
_atom_site_label
_atom_site_type_symbol
_atom_site_fract_x
_atom_site_fract_y
_atom_site_fract_z
In1 In 0.000 0.000 0.000
Cu1 Cu 0.000 0.500 0.500
Ge1 Ge 0.500 0.500 0.500
```

=====

(2)
Entry from Alexandria via LeMat-Bulk: an optimized crystal structure of Nd2Dy8Th3 (GGA-PBE).

crystal system	monoclinic
energy of formation from the pure elements	0.27	eV per atom
raw total energy	-130.28	eV/cell
V	888.5	Å³/cell

CIF file:
```
data_Nd2Dy8Th3
_space_group_name_H-M_alt 'C 1 2/m 1'
_space_group_IT_number 12
_space_group_name_Hall '-C 2y'
_cell_length_a 20.333
_cell_length_b 7.878
_cell_length_c 5.546
_cell_angle_alpha 90.00
_cell_angle_beta 90.05
_cell_angle_gamma 90.00
loop_
_atom_site_label
_atom_site_type_symbol
_atom_site_fract_x
_atom_site_fract_y
_atom_site_fract_z
Nd1 Nd 0.239 0.000 0.499
Dy1 Dy 0.105 0.295 0.501
Dy2 Dy 0.124 0.000 0.000
Dy3 Dy 0.164 0.500 0.001
Th1 Th 0.000 0.000 0.500
Th2 Th 0.000 0.297 0.000
```

=====

(3)
Entry from Alexandria via LeMat-Bulk: an optimized crystal structure of Na2TbTlBr6 (GGA-PBE).

crystal system	trigonal
raw total energy	-105.50	eV/cell
ΔE_f (raw)	-149.5	kJ/mol of atoms
V	1047.4	Å³/cell

CIF file:
```
data_Na2TbTlBr6
_space_group_name_H-M_alt 'R 3'
_space_group_IT_number 146
_space_group_name_Hall 'R 3'
_cell_length_a 7.6142
_cell_length_b 7.6142
_cell_length_c 20.8611
_cell_angle_alpha 90.00
_cell_angle_beta 90.00
_cell_angle_gamma 120.00
loop_
_atom_site_label
_atom_site_type_symbol
_atom_site_fract_x
_atom_site_fract_y
_atom_site_fract_z
Na1 Na 0.0000 0.0000 0.0000
Na2 Na 0.0000 0.0000 0.4856
Tb1 Tb 0.0000 0.0000 0.6789
Tl1 Tl 0.0000 0.0000 0.1960
Br1 Br 0.0089 0.3215 0.7493
Br2 Br 0.0263 0.6239 0.2586
```

=====

(4)
Entry from Alexandria via LeMat-Bulk: an optimized crystal structure of ZrZnIr3 (GGA-PBE).

crystal system	cubic
energy of formation from the pure elements	0.63	eV per atom
raw total energy	-33.25	eV/cell
V	91.0	Å³/cell

CIF file:
```
data_ZrZnIr3
_space_group_name_H-M_alt 'P m -3 m'
_space_group_IT_number 221
_space_group_name_Hall '-P 4 2 3'
_cell_length_a 4.498
_cell_length_b 4.498
_cell_length_c 4.498
_cell_angle_alpha 90.00
_cell_angle_beta 90.00
_cell_angle_gamma 90.00
loop_
_atom_site_label
_atom_site_type_symbol
_atom_site_fract_x
_atom_site_fract_y
_atom_site_fract_z
Zr1 Zr 0.000 0.000 0.000
Zn1 Zn 0.500 0.500 0.500
Ir1 Ir 0.000 0.500 0.500
```

=====

(5)
Entry from Alexandria via LeMat-Bulk: an optimized crystal structure of Sr2RuAu (GGA-PBE).

crystal system	tetragonal
energy of formation from the pure elements	0.15	eV per atom
raw total energy	-15.30	eV/cell
V	118.6	Å³/cell

CIF file:
```
data_Sr2RuAu
_space_group_name_H-M_alt 'P 4 m m'
_space_group_IT_number 99
_space_group_name_Hall 'P 4 -2'
_cell_length_a 3.690
_cell_length_b 3.690
_cell_length_c 8.710
_cell_angle_alpha 90.00
_cell_angle_beta 90.00
_cell_angle_gamma 90.00
loop_
_atom_site_label
_atom_site_type_symbol
_atom_site_fract_x
_atom_site_fract_y
_atom_site_fract_z
Sr1 Sr 0.000 0.000 0.000
Sr2 Sr 0.500 0.500 0.428
Ru1 Ru 0.500 0.500 0.761
Au1 Au 0.000 0.000 0.656
```

=====

(6)
Entry from Alexandria via LeMat-Bulk: an optimized crystal structure of Na2SrRuO6 (GGA-PBE).

crystal system	monoclinic
raw total energy	-113.84	eV/cell
ΔE_f (raw)	-131.0	kJ/mol of atoms
V	280.3	Å³/cell

CIF file:
```
data_Na2SrRuO6
_space_group_name_H-M_alt 'P 1 21/c 1'
_space_group_IT_number 14
_space_group_name_Hall '-P 2ybc'
_cell_length_a 5.677
_cell_length_b 5.998
_cell_length_c 9.992
_cell_angle_alpha 90.00
_cell_angle_beta 124.55
_cell_angle_gamma 90.00
loop_
_atom_site_label
_atom_site_type_symbol
_atom_site_fract_x
_atom_site_fract_y
_atom_site_fract_z
Na1 Na 0.228 0.047 0.236
Sr1 Sr 0.000 0.000 0.500
Ru1 Ru 0.500 0.000 0.000
O1 O 0.181 0.159 0.959
O2 O 0.276 0.737 0.922
O3 O 0.397 0.067 0.788
```

=====

(7)
Entry from Alexandria via LeMat-Bulk: an optimized crystal structure of KBN (GGA-PBE).

crystal system	monoclinic
raw total energy	-67.78	eV/cell
ΔE_f (raw)	-27.2	kJ/mol of atoms
V	178.1	Å³/cell

CIF file:
```
data_KBN
_space_group_name_H-M_alt 'C 1 m 1'
_space_group_IT_number 8
_space_group_name_Hall 'C -2y'
_cell_length_a 11.247
_cell_length_b 2.642
_cell_length_c 6.077
_cell_angle_alpha 90.00
_cell_angle_beta 99.51
_cell_angle_gamma 90.00
loop_
_atom_site_label
_atom_site_type_symbol
_atom_site_fract_x
_atom_site_fract_y
_atom_site_fract_z
K1 K 0.000 0.000 0.000
K2 K 0.179 0.500 0.607
B1 B 0.267 0.000 0.166
B2 B 0.427 0.500 0.459
N1 N 0.220 0.500 0.080
N2 N 0.373 0.000 0.360
```

=====

(8)
Entry from Alexandria via LeMat-Bulk: an optimized crystal structure of Y3Zn2Ga4 (GGA-PBE).

crystal system	monoclinic
energy of formation from the pure elements	-0.61	eV per atom
raw total energy	-79.09	eV/cell
V	369.0	Å³/cell

CIF file:
```
data_Y3Zn2Ga4
_space_group_name_H-M_alt 'C 1 2/m 1'
_space_group_IT_number 12
_space_group_name_Hall '-C 2y'
_cell_length_a 10.616
_cell_length_b 4.379
_cell_length_c 8.427
_cell_angle_alpha 90.00
_cell_angle_beta 109.64
_cell_angle_gamma 90.00
loop_
_atom_site_label
_atom_site_type_symbol
_atom_site_fract_x
_atom_site_fract_y
_atom_site_fract_z
Y1 Y 0.000 0.000 0.000
Y2 Y 0.169 0.500 0.667
Zn1 Zn 0.104 0.500 0.274
Ga1 Ga 0.064 0.000 0.398
Ga2 Ga 0.206 0.500 0.042
```

=====

(9)
Entry from Alexandria via LeMat-Bulk: an optimized crystal structure of NaLa2CoPb (GGA-PBE).

crystal system	tetragonal
energy of formation from the pure elements	-0.14	eV per atom
raw total energy	-22.68	eV/cell
V	149.5	Å³/cell

CIF file:
```
data_NaLa2CoPb
_space_group_name_H-M_alt 'P 4/m m m'
_space_group_IT_number 123
_space_group_name_Hall '-P 4 2'
_cell_length_a 5.398
_cell_length_b 5.398
_cell_length_c 5.129
_cell_angle_alpha 90.00
_cell_angle_beta 90.00
_cell_angle_gamma 90.00
loop_
_atom_site_label
_atom_site_type_symbol
_atom_site_fract_x
_atom_site_fract_y
_atom_site_fract_z
Na1 Na 0.000 0.000 0.000
La1 La 0.000 0.500 0.500
Co1 Co 0.500 0.500 0.500
Pb1 Pb 0.500 0.500 0.000
```

=====

(10)
Entry from Alexandria via LeMat-Bulk: an optimized crystal structure of PaAlCl6 (GGA-PBE).

crystal system	monoclinic
raw total energy	-72.64	eV/cell
ΔE_f (raw)	-144.8	kJ/mol of atoms
V	568.0	Å³/cell

CIF file:
```
data_PaAlCl6
_space_group_name_H-M_alt 'C 1 2/m 1'
_space_group_IT_number 12
_space_group_name_Hall '-C 2y'
_cell_length_a 6.935
_cell_length_b 12.261
_cell_length_c 6.925
_cell_angle_alpha 90.00
_cell_angle_beta 105.26
_cell_angle_gamma 90.00
loop_
_atom_site_label
_atom_site_type_symbol
_atom_site_fract_x
_atom_site_fract_y
_atom_site_fract_z
Pa1 Pa 0.000 0.000 0.000
Al1 Al 0.000 0.500 0.500
Cl1 Cl 0.228 0.140 0.231
Cl2 Cl 0.236 0.000 0.769
```

=====

(11)
Entry from Alexandria via LeMat-Bulk: an optimized crystal structure of GaSb3Pd12 (GGA-PBE).

crystal system	tetragonal
raw total energy	-84.24	eV/cell
ΔE_f (raw)	-39.4	kJ/mol of atoms
V	260.0	Å³/cell

CIF file:
```
data_GaSb3Pd12
_space_group_name_H-M_alt 'P 4/m m m'
_space_group_IT_number 123
_space_group_name_Hall '-P 4 2'
_cell_length_a 4.036
_cell_length_b 4.036
_cell_length_c 15.961
_cell_angle_alpha 90.00
_cell_angle_beta 90.00
_cell_angle_gamma 90.00
loop_
_atom_site_label
_atom_site_type_symbol
_atom_site_fract_x
_atom_site_fract_y
_atom_site_fract_z
Ga1 Ga 0.000 0.000 0.000
Sb1 Sb 0.000 0.000 0.242
Sb2 Sb 0.000 0.000 0.500
Pd1 Pd 0.000 0.500 0.119
Pd2 Pd 0.000 0.500 0.373
Pd3 Pd 0.500 0.500 0.000
Pd4 Pd 0.500 0.500 0.248
Pd5 Pd 0.500 0.500 0.500
```

=====

(12)
Entry from Alexandria via LeMat-Bulk: an optimized crystal structure of Sr2AgSe (GGA-PBE).

crystal system	orthorhombic
raw total energy	-27.05	eV/cell
ΔE_f (raw)	-92.3	kJ/mol of atoms
V	267.4	Å³/cell

CIF file:
```
data_Sr2AgSe
_space_group_name_H-M_alt 'I m m 2'
_space_group_IT_number 44
_space_group_name_Hall 'I 2 -2'
_cell_length_a 4.043
_cell_length_b 4.238
_cell_length_c 15.607
_cell_angle_alpha 90.00
_cell_angle_beta 90.00
_cell_angle_gamma 90.00
loop_
_atom_site_label
_atom_site_type_symbol
_atom_site_fract_x
_atom_site_fract_y
_atom_site_fract_z
Sr1 Sr 0.000 0.000 0.000
Sr2 Sr 0.000 0.500 0.236
Ag1 Ag 0.000 0.000 0.403
Se1 Se 0.000 0.500 0.658
```

=====

Number 1: M_tot 0.000 μB per atom. Number 2: M_tot 0.000 μB per atom. Number 3: M_tot 0.000 μB per atom. Number 4: M_tot 0.000 μB per atom. Number 5: M_tot 0.000 μB per atom. Number 6: M_tot 0.013 μB per atom. Number 7: M_tot 0.000 μB per atom. Number 8: M_tot 0.000 μB per atom. Number 9: M_tot 0.000 μB per atom. Number 10: M_tot 0.000 μB per atom. Number 11: M_tot 0.000 μB per atom. Number 12: M_tot 0.000 μB per atom.